No. 1
Compound: PmURh2
Source: Alexandria
Functional: PBE
Structure: relaxed

total energy = -8.1340 eV per atom
volume = 83.0 Å³/cell

Cell lengths 4.8955, 4.8955, 4.8955 Å; angles 60.00, 60.00, 60.00 degrees
Last column: nearest neighbours and their distance in Å.
Fractional coordinates of all 4 atoms:
U: 0.5000 0.5000 0.5000  8 Rh 3.00
Pm: 0.0000 0.0000 0.0000  8 Rh 3.00
Rh: 0.7500 0.7500 0.7500  4 U 3.00, 4 Pm 3.00
Rh: 0.2500 0.2500 0.2500  4 U 3.00, 4 Pm 3.00

No. 2
Compound: PmY2Rh2
Source: Alexandria
Functional: PBE
Structure: relaxed

total energy = -7.0322 eV per atom
volume = 249.6 Å³/cell

Cell lengths 3.8899, 7.4885, 8.7869 Å; angles 90.00, 102.79, 90.00 degrees
Last column: nearest neighbours and their distance in Å.
Fractional coordinates of all 10 atoms:
Y: 0.1868 0.5237 0.3736  5 Rh 2.91-3.02
Y: 0.9689 0.7472 0.9378  5 Rh 2.84-2.99
Y: 0.0311 0.2472 0.0622  5 Rh 2.84-2.99
Y: 0.8132 0.0237 0.6264  5 Rh 2.91-3.02
Rh: 0.5522 0.5461 0.1044  6 Y 2.84-3.02, 1 Pm 3.02
Rh: 0.1961 0.1351 0.3922  2 Pm 2.83, 4 Y 2.91-2.95
Rh: 0.4478 0.0461 0.8956  6 Y 2.84-3.02, 1 Pm 3.02
Rh: 0.8039 0.6351 0.6078  2 Pm 2.83, 4 Y 2.91-2.95
Pm: 0.6247 0.9135 0.2494  3 Rh 2.83-3.02
Pm: 0.3753 0.4135 0.7506  3 Rh 2.83-3.02

No. 3
Compound: Pm3Y2Rh2
Source: Alexandria
Functional: PBE
Structure: relaxed

total energy = -6.4914 eV per atom
volume = 192.9 Å³/cell

Cell lengths 3.8934, 6.4147, 8.9954 Å; angles 114.42, 90.00, 107.67 degrees
Last column: nearest neighbours and their distance in Å.
Fractional coordinates of all 7 atoms:
Pm: 0.3856 0.7712 0.5713  3 Rh 2.92-2.94
Pm: 0.6144 0.2288 0.4287  3 Rh 2.92-2.94
Pm: 0.5000 0.0000 0.0000  4 Rh 3.04
Y: 0.8311 0.6622 0.1888  2 Rh 2.84
Y: 0.1689 0.3378 0.8112  2 Rh 2.84
Rh: 0.8182 0.6364 0.7592  2 Y 2.84, 5 Pm 2.92-3.04
Rh: 0.1818 0.3636 0.2408  2 Y 2.84, 5 Pm 2.92-3.04

No. 4
Compound: Pm2YRh
Source: Alexandria
Functional: PBE
Structure: relaxed

total energy = -6.2925 eV per atom
volume = 455.2 Å³/cell

Cell lengths 6.3327, 7.2711, 9.8862 Å; angles 90.00, 90.00, 90.00 degrees
Last column: nearest neighbours and their distance in Å.
Fractional coordinates of all 16 atoms:
Pm: 0.6695 0.8221 0.9349  2 Rh 2.90-2.92
Pm: 0.1695 0.6779 0.4349  2 Rh 2.90-2.92
Pm: 0.3305 0.1779 0.0651  2 Rh 2.90-2.92
Pm: 0.8305 0.3221 0.9349  2 Rh 2.90-2.92
Pm: 0.8305 0.3221 0.5651  2 Rh 2.90-2.92
Pm: 0.6695 0.8221 0.5651  2 Rh 2.90-2.92
Pm: 0.1695 0.6779 0.0651  2 Rh 2.90-2.92
Pm: 0.3305 0.1779 0.4349  2 Rh 2.90-2.92
Y: 0.8538 0.0359 0.2500  2 Rh 2.82-2.86
Y: 0.6462 0.5359 0.2500  2 Rh 2.82-2.86
Y: 0.3538 0.4641 0.7500  2 Rh 2.82-2.86
Y: 0.1462 0.9641 0.7500  2 Rh 2.82-2.86
Rh: 0.0612 0.3792 0.2500  2 Y 2.82-2.86, 4 Pm 2.90-2.92
Rh: 0.9388 0.6208 0.7500  2 Y 2.82-2.86, 4 Pm 2.90-2.92
Rh: 0.4388 0.8792 0.2500  2 Y 2.82-2.86, 4 Pm 2.90-2.92
Rh: 0.5612 0.1208 0.7500  2 Y 2.82-2.86, 4 Pm 2.90-2.92

No. 5
Compound: Pm3YRh8
Source: Alexandria
Functional: PBE
Structure: relaxed

total energy = -7.3205 eV per atom
volume = 221.0 Å³/cell

Cell lengths 5.3862, 5.3862, 9.3315 Å; angles 73.23, 73.23, 60.00 degrees
Last column: nearest neighbours and their distance in Å.
Fractional coordinates of all 12 atoms:
Rh: 0.1876 0.1876 0.4372  6 Rh 2.68
Rh: 0.4370 0.9367 0.1892  6 Rh 2.68-2.70
Rh: 0.4385 0.9378 0.6858  6 Rh 2.68-2.71
Rh: 0.6874 0.6874 0.9377  6 Rh 2.70-2.71
Rh: 0.9378 0.9378 0.6858  6 Rh 2.68-2.71
Rh: 0.4370 0.4370 0.1892  6 Rh 2.68-2.70
Rh: 0.9378 0.4385 0.6858  6 Rh 2.68-2.71
Rh: 0.9367 0.4370 0.1892  6 Rh 2.68-2.70
Pm: 0.9999 0.9999 0.0004  12 Rh 3.16-3.18, 3 Pm 3.30, 1 Y 3.30
Pm: 0.3750 0.3750 0.8749  12 Rh 3.16-3.17, 4 Pm 3.30-3.31
Pm: 0.5004 0.5004 0.4989  12 Rh 3.14-3.16, 3 Y 3.29, 1 Pm 3.31
Y: 0.8747 0.8747 0.3758  12 Rh 3.14-3.16, 4 Pm 3.29-3.30

No. 6
Compound: Pm2Y2Rh3
Source: Alexandria
Functional: PBE
Structure: relaxed

total energy = -7.0487 eV per atom
volume = 331.1 Å³/cell

Cell lengths 7.5485, 7.5485, 7.5485 Å; angles 109.47, 109.47, 109.47 degrees
Last column: nearest neighbours and their distance in Å.
Fractional coordinates of all 14 atoms:
Pm: 0.6257 0.1257 0.1257  3 Rh 2.79
Pm: 0.0000 0.0000 0.3743  3 Rh 2.79
Pm: 0.8743 0.5000 0.0000  3 Rh 2.79
Pm: 0.5000 0.3743 0.5000  3 Rh 2.79
Rh: 0.7500 0.6561 0.4061  2 Pm 2.79, 4 Y 2.85-3.06
Rh: 0.1561 0.4061 0.2500  2 Pm 2.79, 4 Y 2.85-3.06
Rh: 0.3439 0.0939 0.7500  2 Pm 2.79, 4 Y 2.85-3.06
Rh: 0.9061 0.2500 0.6561  2 Pm 2.79, 4 Y 2.85-3.06
Rh: 0.2500 0.8439 0.0939  2 Pm 2.79, 4 Y 2.85-3.06
Rh: 0.5939 0.7500 0.8439  2 Pm 2.79, 4 Y 2.85-3.06
Y: 0.5000 0.8873 0.5000  6 Rh 2.85-3.06
Y: 0.0000 0.0000 0.8873  6 Rh 2.85-3.06
Y: 0.1127 0.6127 0.6127  6 Rh 2.85-3.06
Y: 0.3873 0.5000 0.0000  6 Rh 2.85-3.06

No. 7
Compound: Pm12YRh7
Source: Alexandria
Functional: PBE
Structure: relaxed

total energy = -6.2307 eV per atom
volume = 595.7 Å³/cell

Cell lengths 8.9498, 8.9498, 8.9498 Å; angles 107.08, 107.08, 107.08 degrees
Last column: nearest neighbours and their distance in Å.
Fractional coordinates of all 20 atoms:
Pm: 0.5392 0.8435 0.6195  3 Rh 2.82-2.83
Pm: 0.0759 0.6923 0.2243  3 Rh 2.78-2.82
Pm: 0.6923 0.2243 0.0759  3 Rh 2.78-2.82
Pm: 0.2243 0.0759 0.6923  3 Rh 2.78-2.82
Pm: 0.4608 0.1565 0.3805  3 Rh 2.82-2.83
Pm: 0.7757 0.9241 0.3077  3 Rh 2.78-2.82
Pm: 0.3805 0.4608 0.1565  3 Rh 2.82-2.83
Pm: 0.1565 0.3805 0.4608  3 Rh 2.82-2.83
Pm: 0.8435 0.6195 0.5392  3 Rh 2.82-2.83
Pm: 0.6195 0.5392 0.8435  3 Rh 2.82-2.83
Pm: 0.9241 0.3077 0.7757  3 Rh 2.78-2.82
Pm: 0.3077 0.7757 0.9241  3 Rh 2.78-2.82
Rh: 0.1211 0.0366 0.3535  5 Pm 2.78-2.83, 1 Y 2.91
Rh: 0.3535 0.1211 0.0366  5 Pm 2.78-2.83, 1 Y 2.91
Rh: 0.6465 0.8789 0.9634  5 Pm 2.78-2.83, 1 Y 2.91
Rh: 0.8789 0.9634 0.6465  5 Pm 2.78-2.83, 1 Y 2.91
Rh: 0.0366 0.3535 0.1211  5 Pm 2.78-2.83, 1 Y 2.91
Rh: 0.5000 0.5000 0.5000  6 Pm 2.82
Rh: 0.9634 0.6465 0.8789  5 Pm 2.78-2.83, 1 Y 2.91
Y: 0.0000 0.0000 0.0000  6 Rh 2.91

No. 8
Compound: PmY3Rh
Source: Alexandria
Functional: PBE
Structure: relaxed

total energy = -6.5417 eV per atom
volume = 160.9 Å³/cell

Cell lengths 5.4390, 5.4390, 5.4390 Å; angles 90.00, 90.00, 90.00 degrees
Last column: nearest neighbours and their distance in Å.
Fractional coordinates of all 5 atoms:
Rh: 0.0000 0.0000 0.0000  6 Y 2.72
Y: 0.0000 0.0000 0.5000  2 Rh 2.72
Y: 0.5000 0.0000 0.0000  2 Rh 2.72
Y: 0.0000 0.5000 0.0000  2 Rh 2.72
Pm: 0.5000 0.5000 0.5000  12 Y 3.85

No. 9
Compound: PmYRh2
Source: Alexandria
Functional: PBE
Structure: relaxed

total energy = -7.2400 eV per atom
volume = 84.1 Å³/cell

Cell lengths 4.9182, 4.9182, 4.9182 Å; angles 60.00, 60.00, 60.00 degrees
Last column: nearest neighbours and their distance in Å.
Fractional coordinates of all 4 atoms:
Rh: 0.7500 0.7500 0.7500  4 Pm 3.01, 4 Y 3.01
Rh: 0.2500 0.2500 0.2500  4 Y 3.01, 4 Pm 3.01
Y: 0.0000 0.0000 0.0000  8 Rh 3.01
Pm: 0.5000 0.5000 0.5000  8 Rh 3.01

No. 10
Compound: PmY3Rh4
Source: Alexandria
Functional: PBE
Structure: relaxed

total energy = -7.4911 eV per atom
volume = 165.4 Å³/cell

Cell lengths 3.4087, 4.9232, 9.8545 Å; angles 90.00, 90.00, 90.00 degrees
Last column: nearest neighbours and their distance in Å.
Fractional coordinates of all 8 atoms:
Rh: 0.0000 0.0000 0.5000  8 Y 2.97-2.99
Rh: 0.0000 0.0000 0.0000  4 Pm 2.99, 4 Y 3.02
Rh: 0.0000 0.5000 0.7460  6 Y 2.96-2.99, 2 Pm 3.03
Rh: 0.0000 0.5000 0.2540  6 Y 2.96-2.99, 2 Pm 3.03
Y: 0.5000 0.0000 0.7474  8 Rh 2.97-3.02
Y: 0.5000 0.0000 0.2526  8 Rh 2.97-3.02
Y: 0.5000 0.5000 0.5000  8 Rh 2.96-2.99
Pm: 0.5000 0.5000 0.0000  8 Rh 2.99-3.03

No. 11
Compound: Pm2YRh
Source: Alexandria
Functional: PBE
Structure: relaxed

total energy = -6.1064 eV per atom
volume = 122.6 Å³/cell

Cell lengths 3.8970, 3.8970, 9.5917 Å; angles 78.28, 78.28, 60.00 degrees
Last column: nearest neighbours and their distance in Å.
Fractional coordinates of all 4 atoms:
Y: 0.5007 0.5007 0.4978  6 Pm 3.71-3.75, 6 Y 3.90
Pm: 0.2728 0.2728 0.1817  3 Rh 2.81
Pm: 0.0604 0.0604 0.8189  3 Rh 2.82
Rh: 0.6661 0.6661 0.0016  6 Pm 2.81-2.82

No. 12
Compound: Pm2Y2Rh3
Source: Alexandria
Functional: PBE
Structure: relaxed

total energy = -6.9555 eV per atom
volume = 181.8 Å³/cell

Cell lengths 4.4337, 5.9933, 7.4869 Å; angles 99.62, 89.89, 111.73 degrees
Last column: nearest neighbours and their distance in Å.
Fractional coordinates of all 7 atoms:
Y: 0.3624 0.7257 0.0749  5 Rh 2.79-2.89
Y: 0.6376 0.2743 0.9251  5 Rh 2.79-2.89
Rh: 0.0000 0.0000 0.0000  2 Pm 2.80, 4 Y 2.80-2.81
Rh: 0.1968 0.3906 0.7317  3 Pm 2.78-3.08, 3 Y 2.79-2.89
Rh: 0.8032 0.6094 0.2683  3 Pm 2.78-3.08, 3 Y 2.79-2.89
Pm: 0.1314 0.2648 0.3558  4 Rh 2.78-3.08
Pm: 0.8686 0.7352 0.6442  4 Rh 2.78-3.08

No. 13
Compound: Pm4Y3Rh4
Source: Alexandria
Functional: PBE
Structure: relaxed

total energy = -6.6986 eV per atom
volume = 274.2 Å³/cell

Cell lengths 3.7163, 9.0313, 9.5177 Å; angles 118.32, 101.26, 90.00 degrees
Last column: nearest neighbours and their distance in Å.
Fractional coordinates of all 11 atoms:
Pm: 0.6637 0.8504 0.3274  4 Rh 2.82-3.11
Pm: 0.3363 0.1496 0.6726  4 Rh 2.82-3.11
Pm: 0.6637 0.4770 0.3274  4 Rh 2.82-3.11
Pm: 0.3363 0.5230 0.6726  4 Rh 2.82-3.11
Rh: 0.7425 0.2425 0.4849  6 Pm 2.94-3.11, 2 Y 2.98
Rh: 0.5000 0.2151 0.0000  2 Pm 2.82, 4 Y 3.15
Rh: 0.2575 0.7575 0.5151  6 Pm 2.94-3.11, 2 Y 2.98
Rh: 0.5000 0.7849 0.0000  2 Pm 2.82, 4 Y 3.15
Y: 0.9000 0.9000 0.8000  6 Rh 2.98-3.15, 1 Y 3.27
Y: 0.1000 0.1000 0.2000  6 Rh 2.98-3.15, 1 Y 3.27
Y: 0.0000 0.5000 0.0000  4 Rh 3.17

No. 14
Compound: PmY2Rh
Source: Alexandria
Functional: PBE
Structure: relaxed

total energy = -6.7493 eV per atom
volume = 445.4 Å³/cell

Cell lengths 6.4492, 7.2247, 9.5594 Å; angles 90.00, 90.00, 90.00 degrees
Last column: nearest neighbours and their distance in Å.
Fractional coordinates of all 16 atoms:
Y: 0.1713 0.6759 0.0649  2 Rh 2.86-2.89
Y: 0.3287 0.1759 0.4351  2 Rh 2.86-2.89
Y: 0.6713 0.8241 0.5649  2 Rh 2.86-2.89
Y: 0.8287 0.3241 0.5649  2 Rh 2.86-2.89
Y: 0.8287 0.3241 0.9351  2 Rh 2.86-2.89
Y: 0.6713 0.8241 0.9351  2 Rh 2.86-2.89
Y: 0.3287 0.1759 0.0649  2 Rh 2.86-2.89
Y: 0.1713 0.6759 0.4351  2 Rh 2.86-2.89
Pm: 0.3606 0.4642 0.7500  2 Rh 2.81-2.93
Pm: 0.6394 0.5358 0.2500  2 Rh 2.81-2.93
Pm: 0.1394 0.9642 0.7500  2 Rh 2.81-2.93
Pm: 0.8606 0.0358 0.2500  2 Rh 2.81-2.93
Rh: 0.5600 0.1183 0.7500  2 Pm 2.81-2.93, 4 Y 2.86-2.89
Rh: 0.9400 0.6183 0.7500  2 Pm 2.81-2.93, 4 Y 2.86-2.89
Rh: 0.4400 0.8817 0.2500  2 Pm 2.81-2.93, 4 Y 2.86-2.89
Rh: 0.0600 0.3817 0.2500  2 Pm 2.81-2.93, 4 Y 2.86-2.89

No. 15
Compound: Pm2YRh
Source: Alexandria
Functional: PBE
Structure: relaxed

total energy = -6.1947 eV per atom
volume = 496.8 Å³/cell

Cell lengths 6.4141, 6.7153, 11.5342 Å; angles 89.99, 90.00, 90.00 degrees
Last column: nearest neighbours and their distance in Å.
Fractional coordinates of all 16 atoms:
Pm: 0.7460 0.9108 0.5870  2 Rh 2.80-2.81
Pm: 0.2460 0.5892 0.9130  2 Rh 2.80-2.81
Pm: 0.7541 0.9109 0.9130  2 Rh 2.80-2.81
Pm: 0.2459 0.0891 0.0870  2 Rh 2.80-2.81
Pm: 0.7540 0.4108 0.0870  2 Rh 2.80-2.81
Pm: 0.7459 0.4109 0.4130  2 Rh 2.80-2.81
Pm: 0.2540 0.0892 0.4130  2 Rh 2.80-2.81
Pm: 0.2541 0.5891 0.5870  2 Rh 2.80-2.81
Y: 0.2499 0.5688 0.2500  2 Rh 2.75
Y: 0.7501 0.4312 0.7500  2 Rh 2.75
Y: 0.2501 0.0688 0.7500  2 Rh 2.75
Y: 0.7499 0.9312 0.2500  2 Rh 2.75
Rh: 0.5000 0.7500 0.0876  2 Y 2.75, 4 Pm 2.80-2.81
Rh: 0.5000 0.2500 0.9124  2 Y 2.75, 4 Pm 2.80-2.81
Rh: 0.0000 0.7500 0.4124  2 Y 2.75, 4 Pm 2.80-2.81
Rh: 0.0000 0.2500 0.5876  2 Y 2.75, 4 Pm 2.80-2.81

No. 16
Compound: PmY2Rh
Source: Alexandria
Functional: PBE
Structure: relaxed

total energy = -6.3821 eV per atom
volume = 111.9 Å³/cell

Cell lengths 4.6843, 4.6843, 6.4776 Å; angles 68.80, 68.80, 60.00 degrees
Last column: nearest neighbours and their distance in Å.
Fractional coordinates of all 4 atoms:
Y: 0.7797 0.7797 0.6608  3 Rh 2.87
Y: 0.2203 0.2203 0.3392  3 Rh 2.87
Pm: 0.0000 0.0000 0.0000  6 Y 3.36
Rh: 0.5000 0.5000 0.5000  6 Y 2.87

No. 17
Compound: PmY3Rh8
Source: Alexandria
Functional: PBE
Structure: relaxed

total energy = -7.6014 eV per atom
volume = 218.0 Å³/cell

Cell lengths 5.3556, 5.3556, 8.7759 Å; angles 90.00, 90.00, 120.00 degrees
Last column: nearest neighbours and their distance in Å.
Fractional coordinates of all 12 atoms:
Y: 0.6667 0.3333 0.0661  12 Rh 3.12-3.15, 4 Y 3.21-3.30
Y: 0.6667 0.3333 0.4321  12 Rh 3.13-3.20, 1 Y 3.21, 3 Pm 3.31
Y: 0.0000 0.0000 0.9340  12 Rh 3.12-3.15, 1 Pm 3.22, 3 Y 3.30
Rh: 0.5019 0.0038 0.7520  6 Rh 2.65-2.71
Rh: 0.3333 0.6667 0.0001  6 Rh 2.68
Rh: 0.3333 0.6667 0.4995  6 Rh 2.70-2.71
Rh: 0.6703 0.8352 0.2484  6 Rh 2.65-2.71
Rh: 0.9962 0.4981 0.7520  6 Rh 2.65-2.71
Rh: 0.1648 0.3297 0.2484  6 Rh 2.65-2.71
Rh: 0.5019 0.4981 0.7520  6 Rh 2.65-2.71
Rh: 0.1648 0.8352 0.2484  6 Rh 2.65-2.71
Pm: 0.0000 0.0000 0.5672  12 Rh 3.13-3.19, 4 Y 3.22-3.31

No. 18
Compound: PmY2Rh
Source: Alexandria
Functional: PBE
Structure: relaxed

total energy = -6.7207 eV per atom
volume = 222.0 Å³/cell

Cell lengths 3.7915, 6.4037, 9.5698 Å; angles 90.00, 90.00, 107.20 degrees
Last column: nearest neighbours and their distance in Å.
Fractional coordinates of all 8 atoms:
Pm: 0.9231 0.8462 0.2500  2 Rh 2.90
Pm: 0.0769 0.1538 0.7500  2 Rh 2.90
Y: 0.3605 0.7215 0.9314  2 Rh 2.87
Y: 0.6395 0.2785 0.4314  2 Rh 2.87
Y: 0.6395 0.2785 0.0686  2 Rh 2.87
Y: 0.3605 0.7215 0.5686  2 Rh 2.87
Rh: 0.7559 0.5120 0.7500  4 Y 2.87, 2 Pm 2.90
Rh: 0.2441 0.4880 0.2500  4 Y 2.87, 2 Pm 2.90

No. 19
Compound: PmY3Rh
Source: Alexandria
Functional: PBE
Structure: relaxed

total energy = -6.6367 eV per atom
volume = 304.5 Å³/cell

Cell lengths 7.3757, 7.3757, 7.3168 Å; angles 107.40, 112.41, 108.97 degrees
Last column: nearest neighbours and their distance in Å.
Fractional coordinates of all 10 atoms:
Pm: 0.2864 0.9490 0.2354  1 Rh 2.71
Pm: 0.7136 0.0510 0.7646  1 Rh 2.71
Rh: 0.6358 0.7474 0.3833  3 Y 2.68-2.69, 1 Pm 2.71
Rh: 0.3642 0.2526 0.6167  3 Y 2.68-2.69, 1 Pm 2.71
Y: 0.2408 0.4520 0.2938  1 Rh 2.69
Y: 0.8418 0.0531 0.2938  1 Rh 2.69
Y: 0.2926 0.5529 0.8455  1 Rh 2.68
Y: 0.7074 0.4471 0.1545  1 Rh 2.68
Y: 0.1582 0.9469 0.7062  1 Rh 2.69
Y: 0.7592 0.5480 0.7062  1 Rh 2.69

No. 20
Compound: PmYRh2
Source: Alexandria
Functional: PBE
Structure: relaxed

total energy = -7.2357 eV per atom
volume = 84.2 Å³/cell

Cell lengths 3.5415, 4.8757, 4.8757 Å; angles 90.00, 90.00, 90.00 degrees
Last column: nearest neighbours and their distance in Å.
Fractional coordinates of all 4 atoms:
Rh: 0.0000 0.5000 0.0000  4 Pm 3.01, 4 Y 3.01
Rh: 0.0000 0.0000 0.5000  4 Pm 3.01, 4 Y 3.01
Y: 0.5000 0.0000 0.0000  8 Rh 3.01
Pm: 0.5000 0.5000 0.5000  8 Rh 3.01